ScMnV2Sn (PBE-GGA, relaxed); formation energy from the elements = 2.285 eV per formula unit; space-group type = P4/mmm
1.0
4.433 0.000 0.000
0.000 4.876 0.000
0.000 0.000 4.433
Sc Sn V Mn
1 1 2 1
direct
0.500 0.500 0.500
0.000 0.500 0.000
0.500 0.000 0.000
0.000 0.000 0.500
0.000 0.000 0.000

---

Li3ThZr2Te6 (PBE-GGA, relaxed); energy = -5.06 eV per atom; space-group type = C2/m
1.0
7.138 -0.016 -0.005
-3.581 6.175 -0.005
-1.191 -2.062 7.293
Li Te Th Zr
3 6 1 2
direct
0.500 0.500 0.500
0.158 0.842 0.500
0.842 0.158 0.500
0.733 0.733 0.255
0.437 0.087 0.258
0.087 0.437 0.258
0.913 0.563 0.742
0.267 0.267 0.745
0.563 0.913 0.742
0.000 0.000 0.000
0.330 0.670 0.000
0.670 0.330 0.000

---

RbSnAs (PBE-GGA, relaxed); formation energy from the elements = -0.678 eV per formula unit; space-group type = I4mm
1.0
-2.496 1.674 2.284
0.691 -2.593 2.655
5.682 4.243 -0.018
Rb As Sn
1 1 1
direct
0.007 0.007 0.014
0.702 0.702 0.403
0.291 0.291 0.583

---

NaAc3F8 (PBE-GGA, relaxed); energy = -5.96 eV per atom; space-group type = Pm-3m
1.0
-4.351 0.395 -4.321
3.584 -3.121 -3.895
-2.445 -5.278 1.979
F Ac Na
8 3 1
direct
0.726 0.274 0.274
0.274 0.726 0.274
0.726 0.726 0.726
0.726 0.274 0.726
0.274 0.726 0.726
0.274 0.274 0.726
0.274 0.274 0.274
0.726 0.726 0.274
0.500 0.500 0.000
0.000 0.500 0.500
0.500 0.000 0.500
0.000 0.000 0.000

---

Number 1: magnetic moment 0.606 μB per atom. Number 2: magnetic moment 0.000 μB per atom. Number 3: magnetic moment 0.000 μB per atom. Number 4: magnetic moment 0.115 μB per atom.